# 1
First-principles (SCAN) data for a PBEsol-optimized structure of CdSbOsSe2, as listed in Alexandria.

Summary:
magnetization = 0.0 Bohr magnetons per cell
SG = No. 123
formation energy without anion corrections = 0.66 eV per atom
final energy = -35.2783 eV/atom

Unit cell a=4.714 b=4.714 c=5.321 alpha=90.00 beta=90.00 gamma=90.00
Element x y z (fractional)
Cd  0.000  0.000  0.000
Sb  0.500  0.500  0.000
Os  0.000  0.000  0.500
Se  0.000  0.500  0.500
Se  0.500  0.000  0.500

# 2
First-principles (SCAN) data for a PBEsol-optimized structure of LuNiBC, as listed in Alexandria.

Summary:
magnetization = 0.0 Bohr magnetons per cell
SG = No. 129
E_form = -2.67 eV per formula unit
final energy = -22.9287 eV/atom

Unit cell a=3.455 b=3.455 c=7.455 alpha=90.00 beta=90.00 gamma=90.00
Element x y z (fractional)
Lu  0.250  0.250  0.162
Lu  0.750  0.750  0.838
Ni  0.250  0.750  0.500
Ni  0.750  0.250  0.500
B  0.250  0.250  0.650
B  0.750  0.750  0.350
C  0.250  0.250  0.850
C  0.750  0.750  0.150

# 3
First-principles (SCAN) data for a PBEsol-optimized structure of Ag3Pb2, as listed in Alexandria.

Summary:
magnetization = 0.0 Bohr magnetons per cell
SG = No. 166
E_form = 0.83 eV per formula unit
final energy = -48.9659 eV/atom

Unit cell a=11.652 b=11.652 c=11.652 alpha=16.25 beta=16.25 gamma=16.25
Element x y z (fractional)
Ag  0.000  0.000  0.000
Ag  0.196  0.196  0.196
Ag  0.804  0.804  0.804
Pb  0.402  0.402  0.402
Pb  0.598  0.598  0.598

# 4
First-principles (SCAN) data for a PBEsol-optimized structure of MnPd3W, as listed in Alexandria.

Summary:
magnetization = 7.9 Bohr magnetons per cell
SG = No. 221
E_form = 6.77 eV per formula unit
final energy = -35.9001 eV/atom

Unit cell a=4.465 b=4.465 c=4.465 alpha=90.00 beta=90.00 gamma=90.00
Element x y z (fractional)
Mn  0.000  0.000  0.000
Pd  0.000  0.000  0.500
Pd  0.000  0.500  0.000
Pd  0.500  0.000  0.000
W  0.500  0.500  0.500